# Rb2NaAgCl6 GGA-PBE optimized geometry
# Electronic total energy in hartree per atom: -0.107
data_Rb2NaAgCl6
_chemical_formula_sum 'Rb8 Na4 Ag4 Cl24'
_space_group_name_H-M_alt 'F m -3 m'
_space_group_IT_number 225
_space_group_name_Hall '-F 4 2 3'
_cell_length_a 10.380
_cell_length_b 10.380
_cell_length_c 10.380
_cell_angle_alpha 90.00
_cell_angle_beta 90.00
_cell_angle_gamma 90.00
loop_
_atom_site_label
_atom_site_fract_x
_atom_site_fract_y
_atom_site_fract_z
Rb1 0.250 0.250 0.250
Na1 0.000 0.000 0.000
Ag1 0.000 0.000 0.500
Cl1 0.000 0.000 0.258